[1]
Here is crystalline Rb2LiC at its relaxed geometry from Alexandria via LeMat-Bulk. Energies are from PBE.

Cell and atoms, written as extended XYZ:
```
8
Lattice="12.060 0.000 0.000 0.000 12.060 0.000 6.030 6.030 2.145" Properties=species:S:1:pos:R:3 pbc="T T T"
Rb 12.613 9.045 0.536
Rb 11.508 3.015 0.536
Li 6.030 6.030 0.000
C 0.000 0.000 0.000
Rb 15.076 5.478 1.609
Li 6.030 12.060 1.073
Rb 9.045 6.583 1.609
C 12.060 6.030 1.073
```

Values from the calculation:
- DOS(E_F) (states/eV per cell) = 3.706
- mass density (Mg/m³) = 2.02
- formation enthalpy at 0 K (eV/atom) = 0.91
- DFT total energy (eV/cell) = -18.86
- space group = No. 122


[2]
Here is crystalline RbLiC3 at its relaxed geometry from Alexandria via LeMat-Bulk. Energies are from PBE.

Cell and atoms, written as extended XYZ:
```
5
Lattice="-1.430 1.303 5.388 4.548 -2.906 1.909 3.169 4.757 -0.310" Properties=species:S:1:pos:R:3 pbc="T T T"
C 1.585 2.378 -0.155
Rb 0.000 0.000 0.000
Li 3.144 1.577 3.494
C 2.274 -1.453 0.955
C -0.715 0.652 2.694
```

Values from the calculation:
- E above lowest polymorph (meV per atom) = 837
- DOS(E_F) (states/eV per cell) = 9.569
- mass density (Mg/m³) = 1.14
- formation enthalpy at 0 K (eV/atom) = 3.81
- DFT total energy (eV/cell) = -11.51
- space group = No. 221


[3]
Here is crystalline RbLiC3 at its relaxed geometry from Alexandria via LeMat-Bulk. Energies are from PBE.

Cell and atoms, written as extended XYZ:
```
5
Lattice="4.180 0.000 0.000 0.000 4.180 0.000 0.000 0.000 4.180" Properties=species:S:1:pos:R:3 pbc="T T T"
Rb 2.090 2.090 2.090
C 0.000 0.000 2.090
C 2.090 0.000 0.000
C 0.000 2.090 0.000
Li 0.000 0.000 0.000
```

Values from the calculation:
- E above lowest polymorph (meV per atom) = 0
- DOS(E_F) (states/eV per cell) = 3.983
- mass density (Mg/m³) = 2.92
- formation enthalpy at 0 K (eV/atom) = 2.97
- DFT total energy (eV/cell) = -15.69
- space group = No. 221